# 1
VASP calculation (GGA-PBE) on an optimized crystal structure of Cs2Os2C.

It has space group I4/mmm (No. 139), with a = 7.078 Å, b = 7.078 Å, c = 6.432 Å, α = 90.00°, β = 90.00° and γ = 90.00°. The distinct sites, in fractional coordinates, are Cs at (0.000, 0.500, 0.250), Os at (0.000, 0.000, 0.209) and C at (0.000, 0.000, 0.500).

Its energy of formation from the pure elements is 1.679 eV per atom. The calculation puts the total energy at -49.992 eV/cell.

---

# 2
VASP calculation (GGA-PBE) on an optimized crystal structure of CsOsC3.

It has space group Pm-3m (No. 221), with a = 4.179 Å, b = 4.179 Å, c = 4.179 Å, α = 90.00°, β = 90.00° and γ = 90.00°. The distinct sites, in fractional coordinates, are Cs at (0.000, 0.000, 0.000), Os at (0.500, 0.500, 0.500) and C at (0.000, 0.500, 0.500).

Its energy of formation from the pure elements is 1.823 eV per atom. The calculation puts the total energy at -30.639 eV/cell.

---

# 3
VASP calculation (GGA-PBE) on an optimized crystal structure of CsOsC3.

It has space group Pm-3m (No. 221), with a = 4.295 Å, b = 4.295 Å, c = 4.295 Å, α = 90.00°, β = 90.00° and γ = 90.00°. The distinct sites, in fractional coordinates, are Cs at (0.000, 0.000, 0.000), Os at (0.500, 0.500, 0.500) and C at (0.000, 0.000, 0.500).

Its energy of formation from the pure elements is 4.952 eV per atom. The calculation puts the total energy at -14.996 eV/cell.

---

# 4
VASP calculation (GGA-PBE) on an optimized crystal structure of CsRbOsC2.

It has space group P4/mmm (No. 123), with a = 5.907 Å, b = 5.907 Å, c = 6.635 Å, α = 90.00°, β = 90.00° and γ = 90.00°. The distinct sites, in fractional coordinates, are Cs at (0.000, 0.000, 0.000), Rb at (0.500, 0.500, 0.500), Os at (0.500, 0.500, 0.000) and C at (0.000, 0.500, 0.500).

Its energy of formation from the pure elements is 3.589 eV per atom. The calculation puts the total energy at -13.552 eV/cell.